A relaxed TaSbPt crystal. Source: Alexandria via LeMat-Bulk, functional GGA-PBEsol.

Properties
As for the total magnetization: 0.00 μB per formula unit. The calculation puts the uncorrected formation energy at -78 meV/atom. The value obtained for the total energy is -8.10 eV/atom.

a = 4.2679 Å, b = 4.2679 Å, c = 3.7851 Å
α = 90.00°, β = 90.00°, γ = 120.00°
With the nearest neighbours (Å) after each atom.
Space group P3m1 (No. 156)
Unique sites:
Ta (0.0000, 0.0000, 0.0000)  3 Pt 2.57
Sb (0.6667, 0.3333, 0.5265)  3 Pt 2.77, 3 Ta 3.05
Pt (0.3333, 0.6667, 0.1904)  3 Ta 2.57, 3 Sb 2.77